(1)
## ErBeTl (PBE)

Data for a relaxed structure of ErBeTl.

Unit cell a=6.5888 b=6.5888 c=6.5888 alpha=90.00 beta=90.00 gamma=90.00
Element x y z (fractional)
Er1 0.0000 0.0000 0.0000
Er2 0.0000 0.5000 0.5000
Er3 0.5000 0.0000 0.5000
Er4 0.5000 0.5000 0.0000
Be1 0.0000 0.0000 0.5000
Be2 0.0000 0.5000 0.0000
Be3 0.5000 0.0000 0.0000
Be4 0.5000 0.5000 0.5000
Tl1 0.2500 0.2500 0.7500
Tl2 0.2500 0.7500 0.2500
Tl3 0.7500 0.2500 0.2500
Tl4 0.7500 0.7500 0.7500

Values from the calculation:
SG	F-43m (216)
E_tot	-3.3095	eV/atom
energy relative to the lowest polymorph listed for this composition	0.0000	eV per atom


(2)
## UInSi (PBE)

Data for a relaxed structure of UInSi.

Unit cell a=6.8735 b=6.8735 c=6.8735 alpha=90.00 beta=90.00 gamma=90.00
Element x y z (fractional)
U1 0.0000 0.0000 0.0000
U2 0.0000 0.5000 0.5000
U3 0.5000 0.0000 0.5000
U4 0.5000 0.5000 0.0000
In1 0.2500 0.2500 0.7500
In2 0.2500 0.7500 0.2500
In3 0.7500 0.2500 0.2500
In4 0.7500 0.7500 0.7500
Si1 0.2500 0.2500 0.2500
Si2 0.2500 0.7500 0.7500
Si3 0.7500 0.2500 0.7500
Si4 0.7500 0.7500 0.2500

Values from the calculation:
SG	F-43m (216)
E_tot	-5.8905	eV/atom
energy relative to the lowest polymorph listed for this composition	0.3153	eV per atom


(3)
## CsCoCuTc (PBE)

Data for a relaxed structure of CsCoCuTc.

Unit cell a=6.5692 b=6.5692 c=6.5692 alpha=90.00 beta=90.00 gamma=90.00
Element x y z (fractional)
Cs1 0.0000 0.0000 0.0000
Cs2 0.0000 0.5000 0.5000
Cs3 0.5000 0.0000 0.5000
Cs4 0.5000 0.5000 0.0000
Co1 0.2500 0.2500 0.2500
Co2 0.2500 0.7500 0.7500
Co3 0.7500 0.2500 0.7500
Co4 0.7500 0.7500 0.2500
Cu1 0.0000 0.0000 0.5000
Cu2 0.0000 0.5000 0.0000
Cu3 0.5000 0.0000 0.0000
Cu4 0.5000 0.5000 0.5000
Tc1 0.2500 0.2500 0.7500
Tc2 0.2500 0.7500 0.2500
Tc3 0.7500 0.2500 0.2500
Tc4 0.7500 0.7500 0.7500

Values from the calculation:
SG	F-43m (216)
E_tot	-3.7828	eV/atom
energy relative to the lowest polymorph listed for this composition	0.0916	eV per atom


(4)
## BaCd2Cu2 (PBE)

Data for a relaxed structure of BaCd2Cu2.

Unit cell a=4.4845 b=4.4845 c=11.6338 alpha=90.00 beta=90.00 gamma=90.00
Element x y z (fractional)
Ba1 0.0000 0.0000 0.0000
Ba2 0.5000 0.5000 0.5000
Cd1 0.0000 0.5000 0.2500
Cd2 0.0000 0.5000 0.7500
Cd3 0.5000 0.0000 0.2500
Cd4 0.5000 0.0000 0.7500
Cu1 0.0000 0.0000 0.3921
Cu2 0.0000 0.0000 0.6079
Cu3 0.5000 0.5000 0.1079
Cu4 0.5000 0.5000 0.8921

Values from the calculation:
SG	I4/mmm (139)
E_tot	-2.3397	eV/atom


(5)
## Ho2TmSn3Pd3 (PBE)

Data for a relaxed structure of Ho2TmSn3Pd3.

Unit cell a=3.9012 b=7.5782 c=7.5782 alpha=119.88 beta=90.00 gamma=90.00
Element x y z (fractional)
Ho1 0.0000 0.2013 0.7987
Ho2 0.0000 0.7987 0.2013
Tm1 0.0000 0.6034 0.6034
Sn1 0.5000 0.2015 0.4640
Sn2 0.5000 0.4640 0.2015
Sn3 0.5000 0.9388 0.9388
Pd1 0.0000 0.2026 0.2026
Pd2 0.5000 0.5351 0.8662
Pd3 0.5000 0.8662 0.5351

Values from the calculation:
SG	Amm2 (38)
E_tot	-5.5065	eV/atom


(6)
## CsInBAu (PBE)

Data for a relaxed structure of CsInBAu.

Unit cell a=7.4941 b=7.4941 c=7.4941 alpha=90.00 beta=90.00 gamma=90.00
Element x y z (fractional)
Cs1 0.0000 0.0000 0.0000
Cs2 0.0000 0.5000 0.5000
Cs3 0.5000 0.0000 0.5000
Cs4 0.5000 0.5000 0.0000
In1 0.0000 0.0000 0.5000
In2 0.0000 0.5000 0.0000
In3 0.5000 0.0000 0.0000
In4 0.5000 0.5000 0.5000
B1 0.2500 0.2500 0.2500
B2 0.2500 0.7500 0.7500
B3 0.7500 0.2500 0.7500
B4 0.7500 0.7500 0.2500
Au1 0.2500 0.2500 0.7500
Au2 0.2500 0.7500 0.2500
Au3 0.7500 0.2500 0.2500
Au4 0.7500 0.7500 0.7500

Values from the calculation:
SG	F-43m (216)
E_tot	-2.3111	eV/atom
energy relative to the lowest polymorph listed for this composition	0.0000	eV per atom


(7)
## Zn3SiS4 (PBE)

Data for a relaxed structure of Zn3SiS4.

Unit cell a=5.5743 b=5.5743 c=11.0669 alpha=90.00 beta=90.00 gamma=90.00
Element x y z (fractional)
Zn1 0.0000 0.0000 0.0000
Zn2 0.0000 0.5000 0.2500
Zn3 0.0000 0.5000 0.7500
Zn4 0.5000 0.0000 0.2500
Zn5 0.5000 0.0000 0.7500
Zn6 0.5000 0.5000 0.5000
Si1 0.0000 0.0000 0.5000
Si2 0.5000 0.5000 0.0000
S1 0.2338 0.2338 0.1314
S2 0.2338 0.7662 0.8686
S3 0.2662 0.2662 0.6314
S4 0.2662 0.7338 0.3686
S5 0.7338 0.2662 0.3686
S6 0.7338 0.7338 0.6314
S7 0.7662 0.2338 0.8686
S8 0.7662 0.7662 0.1314

Values from the calculation:
SG	I-42m (121)
E_tot	-3.6693	eV/atom


(8)
## Hf4FeCuN2 (PBE)

Data for a relaxed structure of Hf4FeCuN2.

Unit cell a=3.1833 b=3.1833 c=13.3315 alpha=90.00 beta=90.00 gamma=120.00
Element x y z (fractional)
Hf1 0.0000 0.0000 0.1465
Hf2 0.0000 0.0000 0.8535
Hf3 0.3333 0.6667 0.3446
Hf4 0.3333 0.6667 0.6554
Fe1 0.3333 0.6667 0.0000
Cu1 0.0000 0.0000 0.5000
N1 0.6667 0.3333 0.2491
N2 0.6667 0.3333 0.7509

Values from the calculation:
SG	P-6m2 (187)
E_tot	-9.3839	eV/atom


(9)
## LaCoSbAu (PBE)

Data for a relaxed structure of LaCoSbAu.

Unit cell a=7.0971 b=7.0971 c=7.0971 alpha=90.00 beta=90.00 gamma=90.00
Element x y z (fractional)
La1 0.0000 0.0000 0.0000
La2 0.0000 0.5000 0.5000
La3 0.5000 0.0000 0.5000
La4 0.5000 0.5000 0.0000
Co1 0.2500 0.2500 0.7500
Co2 0.2500 0.7500 0.2500
Co3 0.7500 0.2500 0.2500
Co4 0.7500 0.7500 0.7500
Sb1 0.2500 0.2500 0.2500
Sb2 0.2500 0.7500 0.7500
Sb3 0.7500 0.2500 0.7500
Sb4 0.7500 0.7500 0.2500
Au1 0.0000 0.0000 0.5000
Au2 0.0000 0.5000 0.0000
Au3 0.5000 0.0000 0.0000
Au4 0.5000 0.5000 0.5000

Values from the calculation:
SG	F-43m (216)
E_tot	-4.8715	eV/atom
energy relative to the lowest polymorph listed for this composition	0.2311	eV per atom


(10)
## SmPbAuSeS2 (PBE)

Data for a relaxed structure of SmPbAuSeS2.

Unit cell a=7.0595 b=7.0595 c=10.8738 alpha=90.00 beta=90.00 gamma=146.55
Element x y z (fractional)
Sm1 0.0000 0.0000 0.0000
Sm2 0.0000 0.0000 0.5000
Pb1 0.2299 0.7701 0.7500
Pb2 0.7701 0.2299 0.2500
Au1 0.4610 0.5390 0.2500
Au2 0.5390 0.4610 0.7500
Se1 0.0963 0.9037 0.2500
Se2 0.9037 0.0963 0.7500
S1 0.3613 0.6387 0.0583
S2 0.3613 0.6387 0.4417
S3 0.6387 0.3613 0.5583
S4 0.6387 0.3613 0.9417

Values from the calculation:
SG	Cmcm (63)
E_tot	-4.8615	eV/atom


(11)
## Li2HfZnSn2Ir2 (PBE)

Data for a relaxed structure of Li2HfZnSn2Ir2.

Unit cell a=4.4947 b=4.4947 c=6.4820 alpha=90.00 beta=90.00 gamma=90.00
Element x y z (fractional)
Li1 0.0000 0.5000 0.2166
Li2 0.5000 0.0000 0.7834
Hf1 0.0000 0.0000 0.5000
Zn1 0.5000 0.5000 0.0000
Sn1 0.0000 0.0000 0.0000
Sn2 0.5000 0.5000 0.5000
Ir1 0.0000 0.5000 0.7420
Ir2 0.5000 0.0000 0.2580

Values from the calculation:
SG	P-4m2 (115)
E_tot	-5.6212	eV/atom


(12)
## PrGeAsIr2 (PBE)

Data for a relaxed structure of PrGeAsIr2.

Unit cell a=4.2554 b=4.2554 c=10.3236 alpha=90.00 beta=90.00 gamma=90.00
Element x y z (fractional)
Pr1 0.2500 0.2500 0.2454
Pr2 0.7500 0.7500 0.7546
Ge1 0.2500 0.7500 0.0000
Ge2 0.7500 0.2500 0.0000
As1 0.2500 0.2500 0.6375
As2 0.7500 0.7500 0.3625
Ir1 0.2500 0.2500 0.8725
Ir2 0.2500 0.7500 0.5000
Ir3 0.7500 0.2500 0.5000
Ir4 0.7500 0.7500 0.1275

Values from the calculation:
SG	P4/nmm (129)
E_tot	-7.1052	eV/atom
energy relative to the lowest polymorph listed for this composition	0.0249	eV per atom


(13)
## Sr2HoS3 (PBE)

Data for a relaxed structure of Sr2HoS3.

Unit cell a=4.0924 b=4.0924 c=10.2318 alpha=90.00 beta=90.00 gamma=120.00
Element x y z (fractional)
Sr1 0.3333 0.6667 0.1730
Sr2 0.6667 0.3333 0.8270
Ho1 0.0000 0.0000 0.5000
S1 0.0000 0.0000 0.0000
S2 0.3333 0.6667 0.6475
S3 0.6667 0.3333 0.3525

Values from the calculation:
SG	P-3m1 (164)
E_tot	-5.4458	eV/atom


(14)
## PPd6 (PBE)

Data for a relaxed structure of PPd6.

Unit cell a=5.7485 b=9.5899 c=8.3354 alpha=90.00 beta=110.24 gamma=90.00
Element x y z (fractional)
P1 0.1218 0.2385 0.2487
P2 0.1218 0.2615 0.7487
P3 0.8782 0.7385 0.2513
P4 0.8782 0.7615 0.7513
Pd1 0.0424 0.6355 0.0650
Pd2 0.0424 0.8645 0.5650
Pd3 0.1330 0.5795 0.7487
Pd4 0.1330 0.9205 0.2487
Pd5 0.2287 0.6347 0.4311
Pd6 0.2287 0.8653 0.9311
Pd7 0.2860 0.1340 0.0637
Pd8 0.2860 0.3660 0.5637
Pd9 0.3810 0.0815 0.7481
Pd10 0.3810 0.4185 0.2481
Pd11 0.4703 0.1328 0.4308
Pd12 0.4703 0.3672 0.9308
Pd13 0.5297 0.6328 0.0692
Pd14 0.5297 0.8672 0.5692
Pd15 0.6190 0.5815 0.7519
Pd16 0.6190 0.9185 0.2519
Pd17 0.7140 0.6340 0.4363
Pd18 0.7140 0.8660 0.9363
Pd19 0.7713 0.1347 0.0689
Pd20 0.7713 0.3653 0.5689
Pd21 0.8670 0.0795 0.7513
Pd22 0.8670 0.4205 0.2513
Pd23 0.9576 0.1355 0.4350
Pd24 0.9576 0.3645 0.9350

Values from the calculation:
SG	P2_1/c (14)
E_tot	-5.5255	eV/atom


(15)
## HgBi2Au (PBE)

Data for a relaxed structure of HgBi2Au.

Unit cell a=7.5025 b=7.5025 c=7.5025 alpha=90.00 beta=90.00 gamma=90.00
Element x y z (fractional)
Hg1 0.0000 0.0000 0.0000
Hg2 0.0000 0.5000 0.5000
Hg3 0.5000 0.0000 0.5000
Hg4 0.5000 0.5000 0.0000
Bi1 0.0000 0.0000 0.5000
Bi2 0.0000 0.5000 0.0000
Bi3 0.2500 0.2500 0.7500
Bi4 0.2500 0.7500 0.2500
Bi5 0.5000 0.0000 0.0000
Bi6 0.5000 0.5000 0.5000
Bi7 0.7500 0.2500 0.2500
Bi8 0.7500 0.7500 0.7500
Au1 0.2500 0.2500 0.2500
Au2 0.2500 0.7500 0.7500
Au3 0.7500 0.2500 0.7500
Au4 0.7500 0.7500 0.2500

Values from the calculation:
SG	F-43m (216)
E_tot	-2.7800	eV/atom


(16)
## KMgFeS3 (PBE)

Data for a relaxed structure of KMgFeS3.

Unit cell a=8.3730 b=3.7970 c=9.3683 alpha=90.00 beta=113.47 gamma=90.00
Element x y z (fractional)
K1 0.2303 0.2500 0.2392
K2 0.7697 0.7500 0.7608
Mg1 0.3507 0.7500 0.8830
Mg2 0.6493 0.2500 0.1170
Fe1 0.1012 0.2500 0.6135
Fe2 0.8988 0.7500 0.3865
S1 0.1096 0.2500 0.8484
S2 0.1905 0.7500 0.5290
S3 0.4851 0.7500 0.1721
S4 0.5149 0.2500 0.8279
S5 0.8095 0.2500 0.4710
S6 0.8904 0.7500 0.1516

Values from the calculation:
SG	P2_1/m (11)
E_tot	-4.7385	eV/atom
energy relative to the lowest polymorph listed for this composition	0.0000	eV per atom


(17)
## Lu2BiB2 (PBE)

Data for a relaxed structure of Lu2BiB2.

Unit cell a=3.2625 b=14.9946 c=3.6821 alpha=90.00 beta=90.00 gamma=90.00
Element x y z (fractional)
Lu1 0.0000 0.1524 0.0000
Lu2 0.0000 0.8476 0.0000
Lu3 0.5000 0.3476 0.0000
Lu4 0.5000 0.6524 0.0000
Bi1 0.0000 0.5000 0.5000
Bi2 0.5000 0.0000 0.5000
B1 0.0000 0.2672 0.5000
B2 0.0000 0.7328 0.5000
B3 0.5000 0.2328 0.5000
B4 0.5000 0.7672 0.5000

Values from the calculation:
SG	Cmmm (65)
E_tot	-5.8092	eV/atom


(18)
## LiIrAu3Se4 (PBE)

Data for a relaxed structure of LiIrAu3Se4.

Unit cell a=6.1780 b=6.1780 c=6.1780 alpha=90.00 beta=90.00 gamma=90.00
Element x y z (fractional)
Li1 0.0000 0.0000 0.0000
Ir1 0.5000 0.5000 0.5000
Au1 0.0000 0.5000 0.5000
Au2 0.5000 0.0000 0.5000
Au3 0.5000 0.5000 0.0000
Se1 0.2663 0.2663 0.2663
Se2 0.2663 0.7337 0.7337
Se3 0.7337 0.2663 0.7337
Se4 0.7337 0.7337 0.2663

Values from the calculation:
SG	P-43m (215)
E_tot	-3.7411	eV/atom


(19)
## CoAg3H6C6N8 (PBE)

Data for a relaxed structure of CoAg3H6C6N8.

Unit cell a=7.6781 b=7.6781 c=13.9611 alpha=95.45 beta=95.45 gamma=120.88
Element x y z (fractional)
Co1 0.0000 0.5000 0.0000
Co2 0.5000 0.0000 0.5000
Ag1 0.0845 0.9155 0.7500
Ag2 0.2323 0.4052 0.6801
Ag3 0.4052 0.2323 0.1801
Ag4 0.5948 0.7677 0.8199
Ag5 0.7677 0.5948 0.3199
Ag6 0.9155 0.0845 0.2500
H1 0.0582 0.2780 0.4379
H2 0.1782 0.4440 0.3658
H3 0.2481 0.2794 0.3886
H4 0.2780 0.0582 0.9379
H5 0.2794 0.2481 0.8886
H6 0.4440 0.1782 0.8658
H7 0.5560 0.8218 0.1342
H8 0.7206 0.7519 0.1114
H9 0.7220 0.9418 0.0621
H10 0.7519 0.7206 0.6114
H11 0.8218 0.5560 0.6342
H12 0.9418 0.7220 0.5621
C1 0.1323 0.5043 0.8955
C2 0.1612 0.4290 0.0737
C3 0.1932 0.7758 0.0475
C4 0.2242 0.8068 0.4525
C5 0.4290 0.1612 0.5737
C6 0.4957 0.8677 0.6045
C7 0.5043 0.1323 0.3955
C8 0.5710 0.8388 0.4263
C9 0.7758 0.1932 0.5475
C10 0.8068 0.2242 0.9525
C11 0.8388 0.5710 0.9263
C12 0.8677 0.4957 0.1045
N1 0.0503 0.6851 0.4212
N2 0.1236 0.2953 0.3759
N3 0.2130 0.5010 0.8287
N4 0.2641 0.3855 0.1201
N5 0.2953 0.1236 0.8759
N6 0.3149 0.9497 0.0788
N7 0.3855 0.2641 0.6201
N8 0.4990 0.7870 0.6713
N9 0.5010 0.2130 0.3287
N10 0.6145 0.7359 0.3799
N11 0.6851 0.0503 0.9212
N12 0.7047 0.8764 0.1241
N13 0.7359 0.6145 0.8799
N14 0.7870 0.4990 0.1713
N15 0.8764 0.7047 0.6241
N16 0.9497 0.3149 0.5788

Values from the calculation:
SG	C2/c (15)
E_tot	-6.4555	eV/atom


(20)
## ErNiMo (PBE)

Data for a relaxed structure of ErNiMo.

Unit cell a=6.1409 b=6.1409 c=6.1409 alpha=90.00 beta=90.00 gamma=90.00
Element x y z (fractional)
Er1 0.0000 0.0000 0.0000
Er2 0.0000 0.5000 0.5000
Er3 0.5000 0.0000 0.5000
Er4 0.5000 0.5000 0.0000
Ni1 0.2500 0.2500 0.2500
Ni2 0.2500 0.7500 0.7500
Ni3 0.7500 0.2500 0.7500
Ni4 0.7500 0.7500 0.2500
Mo1 0.0000 0.0000 0.5000
Mo2 0.0000 0.5000 0.0000
Mo3 0.5000 0.0000 0.0000
Mo4 0.5000 0.5000 0.5000

Values from the calculation:
SG	F-43m (216)
E_tot	-6.5413	eV/atom
DFT formation energy	1.4	eV/f.u.
energy relative to the lowest polymorph listed for this composition	0.0000	eV per atom